Ac4La2Tb3: relaxed, PBE-GGA.

The structure belongs to space group C2/m (No. 12); the cell edges are 11.905, 5.424 and 11.338 Å and the angles 90.00°, 108.01° and 90.00°. The distinct sites, in fractional coordinates, are Ac at (0.006, 0.000, 0.335), Ac at (0.166, 0.500, 0.888), La at (0.171, 0.500, 0.228), Tb at (0.000, 0.000, 0.000) and Tb at (0.164, 0.500, 0.551).

Its crystal system is monoclinic. For the formation enthalpy at 0 K, the calculation gives 0.05 eV/atom. The theoretical density is 7.9 g/cm3.